5
Lattice="5.407 0.000 0.000 0.000 4.476 0.000 0.000 0.000 5.407" Properties=species:S:1:pos:R:3 comment="SiSnSb2Ir | the Alexandria database | PBE | optimized geometry" e_form_raw_ev_per_atom=0.316 pbc="T T T"
Sb 2.704 0.000 0.000
Sn 2.704 2.238 2.704
Ir 0.000 0.000 0.000
Sb 0.000 0.000 2.704
Si 0.000 2.238 0.000